(1)
First-principles (PBE-GGA) data for an optimized crystal structure of Na2Sr2I7, as listed in Alexandria via LeMat-Bulk.

a b c (Å): 8.798 8.798 8.351
angles (deg): 99.09 99.09 116.43
Sites, in units of the cell vectors:
Na 0.245 0.245 0.156
Na 0.755 0.755 0.844
Sr 0.189 0.811 0.500
Sr 0.811 0.189 0.500
I 0.027 0.414 0.255
I 0.154 0.154 0.703
I 0.414 0.027 0.255
I 0.500 0.500 0.000
I 0.586 0.973 0.745
I 0.846 0.846 0.297
I 0.973 0.586 0.745

Results
* density: 3.34 g/cm3
* V: 50.2 A^3/atom
* total DFT energy (no corrections): -2.819 eV per atom

---

(2)
First-principles (PBE-GGA) data for an optimized crystal structure of TiNi2Se4, as listed in Alexandria via LeMat-Bulk.

a b c (Å): 5.850 5.850 5.850
angles (deg): 109.32 109.32 109.77
Sites, in units of the cell vectors:
Ti 0.000 0.000 0.000
Ni 0.250 0.750 0.500
Ni 0.750 0.250 0.500
Se 0.169 0.329 0.498
Se 0.329 0.831 0.161
Se 0.671 0.169 0.839
Se 0.831 0.671 0.502

Results
* density: 5.18 g/cm3
* V: 22.0 A^3/atom
* total DFT energy (no corrections): -4.968 eV per atom

---

(3)
First-principles (PBE-GGA) data for an optimized crystal structure of ZrTa2MnC, as listed in Alexandria via LeMat-Bulk.

a b c (Å): 4.496 4.496 3.718
angles (deg): 90.00 90.00 90.00
Sites, in units of the cell vectors:
Zr 0.000 0.000 0.000
Ta 0.000 0.500 0.500
Ta 0.500 0.000 0.500
Mn 0.500 0.500 0.000
C 0.500 0.500 0.500

Results
* density: 11.49 g/cm3
* energy of formation from the pure elements: -0.139 eV per atom
* V: 15.0 A^3/atom

---

The lowest density belongs to which entry? Na2Sr2I7

---

Which value of density does entry 2 give? 5.18 g/cm3

---

What is the V in the first record? 50.2 A^3/atom

---

What is the V in the first record? 50.2 A^3/atom